No. 1
Ac2HoPtO8 | GGA-PBE | optimized geometry

Computed properties:
Formation energy (no corrections) in eV per formula unit: -22.043
Density in g cm⁻³: 9.0

a b c (Å): 5.6779 5.6779 6.2406
angles (deg): 90.00 90.00 120.00
Last column: nearest neighbours and their distance in Å.
Space group P-3m1 (No. 164)
Unique sites:
Ac (0.3333, 0.6667, 0.3620)  1 O 2.14
Ho (0.0000, 0.0000, 0.0000)  6 O 2.45
Pt (0.0000, 0.0000, 0.5000)  6 O 1.99
O (0.1590, 0.3181, 0.6984)  1 Pt 1.99
O (0.3333, 0.6667, 0.0193)  1 Ac 2.14


No. 2
Ac2HoPuO8 | GGA-PBE | optimized geometry

Computed properties:
Formation energy (no corrections) in eV per formula unit: -35.895
Density in g cm⁻³: 8.9

a b c (Å): 4.2820 7.6016 5.7538
angles (deg): 90.00 96.93 90.00
Last column: nearest neighbours and their distance in Å.
Space group P2/m (No. 10)
Unique sites:
Ac (0.0000, 0.2472, 0.0000)  6 O 2.39-2.64
Ho (0.5000, 0.0000, 0.5000)  2 O 2.21
Pu (0.5000, 0.5000, 0.5000)  6 O 1.94-2.12
O (0.0581, 0.0000, 0.2579)  1 Ho 2.21, 2 Ac 2.39
O (0.0995, 0.5000, 0.3017)  1 Pu 1.94
O (0.4402, 0.2813, 0.7201)  1 Pu 2.12


No. 3
Rb4AcHo3O8 | GGA-PBE | optimized geometry

Computed properties:
Formation energy (no corrections) in eV per formula unit: -42.128
Density in g cm⁻³: 6.7

a b c (Å): 7.1919 7.1919 19.7404
angles (deg): 90.00 90.00 120.00
Last column: nearest neighbours and their distance in Å.
Space group R-3m (No. 166, hexagonal axes)
Unique sites:
Rb (0.0000, 0.0000, 0.0000)  6 O 2.89
Rb (0.0000, 0.5000, 0.0000)  6 O 2.97-3.02
Ac (0.0000, 0.0000, 0.5000)  6 O 2.49
Ho (0.0000, 0.5000, 0.5000)  6 O 2.33-2.38
O (0.0000, 0.0000, 0.2256)  3 Ho 2.38
O (0.0200, 0.5100, 0.7745)  2 Ho 2.33, 1 Ac 2.49


No. 4
AcHoReO6 | GGA-PBE | optimized geometry

Computed properties:
Formation energy (no corrections) in eV per formula unit: -23.815
Density in g cm⁻³: 7.9

a b c (Å): 5.5576 5.5576 5.2725
angles (deg): 90.00 90.00 120.00
Last column: nearest neighbours and their distance in Å.
Space group P312 (No. 149)
Unique sites:
Ac (0.0000, 0.0000, 0.0000)  6 O 2.54
Ho (0.3333, 0.6667, 0.5000)  6 O 2.24
Re (0.6667, 0.3333, 0.5000)  6 O 1.95
O (0.3835, 0.0396, 0.7100)  1 Re 1.95


No. 5
AcHo2ReO8 | GGA-PBE | optimized geometry

Computed properties:
Formation energy (no corrections) in eV per formula unit: -33.165
Density in g cm⁻³: 7.9

a b c (Å): 5.0951 7.0272 5.0980
angles (deg): 90.00 91.48 90.00
Last column: nearest neighbours and their distance in Å.
Space group P2/m (No. 10)
Unique sites:
Ac (0.0000, 0.0000, 0.0000)  6 O 2.36-2.52
Ho (0.5000, 0.2488, 0.5000)  4 O 2.17-2.26
Re (0.0000, 0.5000, 0.0000)  6 O 1.91
O (0.1876, 0.3052, 0.1866)  1 Re 1.91
O (0.2610, 0.5000, 0.7383)  1 Re 1.91
O (0.3226, 0.0000, 0.6754)  2 Ho 2.17, 1 Ac 2.36


No. 6
AcHoRhO6 | GGA-PBE | optimized geometry

Computed properties:
Formation energy (no corrections) in eV per formula unit: -18.868
Density in g cm⁻³: 7.0

a b c (Å): 5.5313 5.5313 5.3146
angles (deg): 90.00 90.00 120.00
Last column: nearest neighbours and their distance in Å.
Space group P312 (No. 149)
Unique sites:
Ac (0.0000, 0.0000, 0.0000)  6 O 2.52
Ho (0.3333, 0.6667, 0.5000)  6 O 2.24
Rh (0.6667, 0.3333, 0.5000)  6 O 1.97
O (0.3799, 0.0365, 0.7123)  1 Rh 1.97